{"formula": "VTeOs2O", "functional": "PBE with a Hubbard U", "state": "optimized geometry", "lattice": [[4.245, 0.000, 0.000], [0.000, 4.245, 0.000], [0.000, 0.000, 4.157]], "species": ["V", "Te", "Os", "Os", "O"], "fractional_positions": [[0.000, 0.000, 0.000], [0.500, 0.500, 0.000], [0.000, 0.500, 0.500], [0.500, 0.000, 0.500], [0.000, 0.000, 0.500]], "dos_ef_per_ev_cell": 3.7, "total_energy_ev_per_cell": -34.5}